[1]
Crystalline PaTiAlGa2 at its relaxed geometry. Source: Alexandria via LeMat-Bulk, functional PBE.

Values from the calculation:
crystal system: tetragonal
raw total energy: -5.765 eV/atom
space group: No. 119
volume: 19.006 Å³/atom

Lattice parameters (Å, degrees): 4.027 4.027 6.515 108.00 108.00 90.00
Positions (direct):
Ti 0.250 0.750 0.500
Ga 0.606 0.606 0.212
Ga 0.394 0.394 0.788
Pa 0.000 0.000 0.000
Al 0.750 0.250 0.500

=====

[2]
Crystalline AcS8Cl2 at its relaxed geometry. Source: Alexandria via LeMat-Bulk, functional PBE.

Values from the calculation:
energy relative to the elements, uncorrected: -0.607 eV/atom
crystal system: triclinic
raw total energy: -4.318 eV/atom
space group: No. 2
volume: 30.673 Å³/atom

Lattice parameters (Å, degrees): 7.735 12.395 5.725 104.40 139.95 72.95
Positions (direct):
S 0.791 0.334 0.805
S 0.209 0.666 0.195
S 0.101 0.422 0.138
S 0.981 0.882 0.419
S 0.019 0.118 0.581
S 0.275 0.742 0.624
S 0.725 0.258 0.376
S 0.899 0.578 0.862
Cl 0.455 0.139 0.559
Cl 0.545 0.861 0.441
Ac 0.000 0.000 0.000

=====

[3]
Crystalline TmPaS2 at its relaxed geometry. Source: Alexandria via LeMat-Bulk, functional PBE.

Values from the calculation:
energy relative to the elements, uncorrected: -1.308 eV/atom
crystal system: cubic
raw total energy: -6.863 eV/atom
space group: No. 225
volume: 19.170 Å³/atom

Lattice parameters (Å, degrees): 4.770 4.770 4.768 59.99 59.99 60.00
Positions (direct):
Tm 0.500 0.500 0.500
S 0.250 0.250 0.250
S 0.750 0.750 0.750
Pa 0.000 0.000 0.000

=====

[4]
Crystalline La7YHo2 at its relaxed geometry. Source: Alexandria via LeMat-Bulk, functional PBE.

Values from the calculation:
crystal system: orthorhombic
raw total energy: -4.416 eV/atom
space group: No. 65
volume: 42.551 Å³/atom

Lattice parameters (Å, degrees): 5.807 9.383 9.383 123.68 90.00 90.00
Positions (direct):
La 0.000 0.769 0.231
La 0.500 0.706 0.933
La 0.500 0.294 0.067
La 0.000 0.231 0.769
La 0.500 0.500 0.500
La 0.500 0.067 0.294
La 0.500 0.933 0.706
Y 0.000 0.000 0.000
Ho 0.500 0.294 0.706
Ho 0.500 0.706 0.294